Model a:
10
Lattice="7.321 0.000 0.000 0.000 7.321 0.000 0.000 0.000 2.761" Properties=species:S:1:pos:R:3 comment="Zn2Cu2Ge PBE relaxed" total_magnetization_mub_per_cell=0.0 mass_density_g_cm3=7.4 pbc="T T T"
Cu 4.914 6.067 1.381
Cu 2.407 1.254 1.381
Cu 6.067 2.407 1.381
Cu 1.254 4.914 1.381
Zn 4.586 0.926 0.000
Zn 2.734 6.395 0.000
Zn 6.395 4.586 0.000
Zn 0.926 2.734 0.000
Ge 3.660 3.660 0.000
Ge 0.000 0.000 0.000

Model b:
10
Lattice="-2.963 0.966 6.629 -4.636 -5.529 -1.266 1.809 -1.761 1.065" Properties=species:S:1:pos:R:3 comment="Zn2Cu2Ge PBE relaxed" total_magnetization_mub_per_cell=0.0 mass_density_g_cm3=7.5 pbc="T T T"
Zn -2.732 -4.436 0.830
Zn -3.059 -1.887 5.599
Zn -0.867 -1.524 2.478
Zn -4.923 -4.799 3.951
Cu -5.187 -4.487 1.391
Cu -2.412 -0.076 3.972
Cu -5.486 -2.593 5.029
Cu -2.113 -1.969 0.334
Ge 0.000 0.000 0.000
Ge -3.800 -2.281 2.682

Model c:
5
Lattice="3.525 0.000 0.000 0.000 3.525 0.000 1.763 1.763 6.177" Properties=species:S:1:pos:R:3 comment="Zn2Cu2Ge PBE relaxed" total_magnetization_mub_per_cell=0.0 mass_density_g_cm3=7.1 pbc="T T T"
Ge 0.000 0.000 0.000
Cu 3.525 3.525 4.971
Cu 1.763 1.763 1.206
Zn 1.763 3.525 3.089
Zn 3.525 1.763 3.089

Tell me which of them is the least stable. Sure, it is model c.